DFT (PBE) results for crystalline Sc2BiPb at its relaxed geometry.

Cell: 8.1676 8.1676 8.1676 Å, 28.51 28.51 28.51°
Closest atoms and distances in Å follow each position.
Element x y z (fractional)
Sc 0.0000 0.0000 0.0000  3 Bi 2.99, 3 Pb 3.12
Sc 0.1753 0.1753 0.1753  3 Bi 2.95, 3 Pb 3.09
Bi 0.5862 0.5862 0.5862  6 Sc 2.95-2.99
Pb 0.7553 0.7553 0.7553  6 Sc 3.09-3.12

Calculated values
**Density**: 7.66 g/cm3
**Energy relative to the elements**: -0.37 eV/atom
**Offset from the most stable computed form**: 0.072 eV per atom